HgAs2BrN: relaxed, GGA-PBE.

a = 4.4635 Å, b = 4.4635 Å, c = 4.9153 Å
α = 90.00°, β = 90.00°, γ = 90.00°
Positions (direct):
Hg (0.0000, 0.0000, 0.0000)
As (0.0000, 0.5000, 0.5000)
As (0.5000, 0.0000, 0.5000)
Br (0.5000, 0.5000, 0.0000)
N (0.5000, 0.5000, 0.5000)

Calculated values
- calculated total energy (eV/atom) = -2.9900
- V (Å³/cell) = 97.9
- polymorph energy (0 for the lowest one) (meV per atom) = 0.0
- formation energy without anion corrections (eV per atom) = 0.930